# 1
CsIn2Sb2: optimized geometry, PBE.

Values from the calculation:
ΔE_f (raw) ... -0.11 eV per atom
Polymorph energy (0 for the lowest one) ... 184.1 meV/atom

Unit cell a=9.5622 b=9.5622 c=4.1040 alpha=90.00 beta=90.00 gamma=90.00
Last column: nearest neighbours and their distance in Å.
Space group P4/mbm (No. 127)
Asymmetric unit:
Cs 0.0000 0.0000 0.0000 x2  4 Sb 3.87, 2 Cs 4.10, 8 In 4.22
In 0.1401 0.3599 0.5000 x4  4 Sb 3.16
Sb 0.1101 0.6101 0.0000 x4  1 Sb 2.98, 4 In 3.16

=====

# 2
ErCdSnRh: optimized geometry, PBE.

Values from the calculation:
ΔE_f ... -0.43 eV per atom

Unit cell a=6.8833 b=6.8833 c=6.8833 alpha=90.00 beta=90.00 gamma=90.00
Last column: nearest neighbours and their distance in Å.
Space group F-43m (No. 216)
Asymmetric unit:
Er 0.0000 0.0000 0.0000 x4  4 Cd 2.98, 4 Rh 2.98
Cd 0.2500 0.2500 0.2500 x4  4 Sn 2.98, 4 Er 2.98
Sn 0.0000 0.0000 0.5000 x4  4 Cd 2.98, 4 Rh 2.98
Rh 0.2500 0.2500 0.7500 x4  4 Sn 2.98, 4 Er 2.98

=====

# 3
TaRuCl: optimized geometry, PBE.

Values from the calculation:
ΔE_f (raw) ... 0.63 eV per atom
Polymorph energy (0 for the lowest one) ... 1161.0 meV/atom

Unit cell a=6.1169 b=6.1169 c=6.1169 alpha=90.00 beta=90.00 gamma=90.00
Last column: nearest neighbours and their distance in Å.
Space group F-43m (No. 216)
Asymmetric unit:
Ta 0.0000 0.0000 0.0000 x4  4 Ru 2.65
Ru 0.2500 0.2500 0.7500 x4  4 Ta 2.65, 4 Cl 2.65
Cl 0.0000 0.0000 0.5000 x4  4 Ru 2.65

=====

# 4
Pu2ThH: optimized geometry, PBE.

Unit cell a=3.2467 b=3.2467 c=8.3811 alpha=90.00 beta=90.00 gamma=90.00
Last column: nearest neighbours and their distance in Å.
Space group P4/mmm (No. 123)
Asymmetric unit:
Pu 0.0000 0.0000 0.1800 x2  4 H 2.75, 1 Pu 3.02
Th 0.5000 0.5000 0.5000 x1  4 Th 3.25, 8 Pu 3.53
H 0.5000 0.5000 0.0000 x1  8 Pu 2.75

=====

# 5
NpCdIrPd: optimized geometry, PBE.

Values from the calculation:
ΔE_f ... -0.18 eV per atom

Unit cell a=6.7371 b=6.7371 c=6.7371 alpha=90.00 beta=90.00 gamma=90.00
Last column: nearest neighbours and their distance in Å.
Space group F-43m (No. 216)
Asymmetric unit:
Np 0.0000 0.0000 0.0000 x4  4 Ir 2.92, 4 Pd 2.92
Cd 0.0000 0.0000 0.5000 x4  4 Ir 2.92, 4 Pd 2.92
Ir 0.2500 0.2500 0.2500 x4  4 Cd 2.92, 4 Np 2.92
Pd 0.2500 0.2500 0.7500 x4  4 Cd 2.92, 4 Np 2.92

=====

# 6
Ga2SnB: optimized geometry, PBE.

Values from the calculation:
ΔE_f ... 0.29 eV per atom
Polymorph energy (0 for the lowest one) ... 29.8 meV/atom

Unit cell a=5.2082 b=5.7999 c=6.0202 alpha=73.69 beta=64.82 gamma=67.70
Last column: nearest neighbours and their distance in Å.
Space group P1 (No. 1)
Asymmetric unit:
Ga 0.0000 0.0000 0.0000 x1  2 B 2.12-2.15
Ga 0.0591 0.5260 0.0845 x1  2 B 2.18-2.45
Ga 0.4972 0.4119 0.3256 x1  1 B 2.19
Ga 0.5851 0.0297 0.6664 x1  1 B 2.18
Sn 0.2322 0.9086 0.4509 x1  1 B 2.42
Sn 0.8043 0.5028 0.6303 x1  1 B 2.47
B 0.3055 0.1328 0.0350 x1  1 B 1.66
B 0.5667 0.2449 0.0118 x1  1 B 1.66

=====

# 7
SbMo2Cl: optimized geometry, PBE.

Values from the calculation:
ΔE_f (raw) ... 0.62 eV per atom
Polymorph energy (0 for the lowest one) ... 723.0 meV/atom

Unit cell a=6.5158 b=6.5158 c=6.5158 alpha=90.00 beta=90.00 gamma=90.00
Last column: nearest neighbours and their distance in Å.
Space group Fm-3m (No. 225)
Asymmetric unit:
Sb 0.0000 0.0000 0.0000 x4  8 Mo 2.82
Mo 0.2500 0.2500 0.2500 x8  4 Cl 2.82, 4 Sb 2.82
Cl 0.0000 0.0000 0.5000 x4  8 Mo 2.82

=====

# 8
Ba2Ge3IrPt12: optimized geometry, PBE.

Values from the calculation:
ΔE_f ... -0.25 eV per atom

Unit cell a=6.9024 b=6.9024 c=27.1001 alpha=90.00 beta=90.00 gamma=120.00
Last column: nearest neighbours and their distance in Å.
Space group R-3m (No. 166, hexagonal axes)
Asymmetric unit:
Ba 0.0000 0.0000 0.1565 x6  6 Pt 3.32-3.46
Ge 0.0000 0.5000 0.0000 x9  6 Pt 2.50-2.52
Ir 0.0000 0.0000 0.5000 x3  6 Pt 2.58
Pt 0.0618 0.5309 0.6228 x18  2 Ge 2.50, 2 Pt 2.71
Pt 0.0662 0.5331 0.0917 x18  1 Ge 2.52, 1 Ir 2.58, 4 Pt 2.71-2.77

=====

| no. | VASP energy (eV per cell) |
| --- | --- |
| 1 | -30.245 |
| 2 | -74.201 |
| 3 | -84.334 |
| 4 | -38.747 |
| 5 | -114.592 |
| 6 | -31.174 |
| 7 | -100.553 |
| 8 | -310.560 |